Material: KCaW2
Method: DFT, PBE
State: optimized geometry

Calculated total energy   -5.821 eV per atom
Size of the total moment   0.00 μB/cell
Space group   Cmmm, No. 65
D(E_F)   5.7 states/eV per cell
Polymorph energy (0 for the lowest one)   508 meV per atom

a = 6.240 Å, b = 6.240 Å, c = 2.774 Å
α = 90.00°, β = 90.00°, γ = 127.78°
Element x y z (fractional)
Ca 0.500 0.000 0.500
K 0.000 0.500 0.500
W 0.000 0.000 0.000
W 0.500 0.500 0.000